Co2Ni7Ir, relaxed, DFT PBE; D(E_F) = 15.60 states/eV/f.u.; space-group type = Cmmm; E_tot = -5.71 eV/atom; total moment = 9.23 Bohr magnetons per cell; calculated density = 8.4 g cm⁻³; formation energy = 14.82 kcal/mol of atoms
1.0
-2.846 0.441 2.326
-4.090 -3.303 -4.378
3.598 -3.017 4.975
Ni Ir Co
7 1 2
direct
0.000 0.799 0.201
0.500 0.500 0.500
0.000 0.201 0.799
0.500 0.293 0.083
0.500 0.917 0.707
0.500 0.707 0.917
0.500 0.083 0.293
0.000 0.000 0.000
0.500 0.698 0.302
0.500 0.302 0.698